VASP calculation (PBE) on an optimized crystal structure of MgVMo3.

Its total energy is -7.51 eV/atom. Its energy above the most stable polymorph in this dataset is 0.0 kJ/mol of atoms. The energy relative to the elements is 547.3 kJ/mol of formula units. The crystal system is cubic. Its space-group type is No. 221.

Cell: 4.5700 4.5700 4.5700 Å, 90.00 90.00 90.00°
Closest atoms and distances in Å follow each position.
Element x y z (fractional)
Mo 0.0000 0.0000 0.5000  2 V 2.29
Mo 0.5000 0.0000 0.0000  2 V 2.29
Mo 0.0000 0.5000 0.0000  2 V 2.29
Mg 0.5000 0.5000 0.5000  12 Mo 3.23
V 0.0000 0.0000 0.0000  6 Mo 2.29